Record 1
The following is a DFT calculation (PBEsol) of crystalline Cd2GeRh2 at its relaxed geometry.

E_form (eV per formula unit): -1.475

The structure in CIF format:
```
data_Cd2GeRh2
_chemical_formula_sum 'Cd4 Ge2 Rh4'
_cell_length_a 6.231
_cell_length_b 6.231
_cell_length_c 4.346
_cell_angle_alpha 90.00
_cell_angle_beta 90.00
_cell_angle_gamma 90.00
_space_group_name_H-M_alt 'P 4/m b m'
_space_group_IT_number 127
_space_group_name_Hall '-P 4 2ab'
loop_
_atom_site_label
_atom_site_type_symbol
_atom_site_fract_x
_atom_site_fract_y
_atom_site_fract_z
Cd1 Cd 0.159 0.341 0.000
Ge1 Ge 0.000 0.000 0.500
Rh1 Rh 0.151 0.651 0.500
```

Record 2
The following is a DFT calculation (PBEsol) of crystalline TcP2HCl at its relaxed geometry.

VASP energy (hartree per atom): -0.179

The structure in CIF format:
```
data_TcP2HCl
_chemical_formula_sum 'Tc1 P2 H1 Cl1'
_cell_length_a 3.634
_cell_length_b 3.634
_cell_length_c 4.635
_cell_angle_alpha 90.00
_cell_angle_beta 90.00
_cell_angle_gamma 90.00
_space_group_name_H-M_alt 'P 4/m m m'
_space_group_IT_number 123
_space_group_name_Hall '-P 4 2'
loop_
_atom_site_label
_atom_site_type_symbol
_atom_site_fract_x
_atom_site_fract_y
_atom_site_fract_z
Tc1 Tc 0.000 0.000 0.000
P1 P 0.000 0.500 0.500
H1 H 0.500 0.500 0.500
Cl1 Cl 0.500 0.500 0.000
```

Record 3
The following is a DFT calculation (PBEsol) of crystalline LaAg2Au at its relaxed geometry.

E_form (eV per formula unit): -1.500
Energy relative to the lowest polymorph listed for this composition (meV/atom): 0

The structure in CIF format:
```
data_LaAg2Au
_chemical_formula_sum 'La3 Ag6 Au3'
_cell_length_a 4.6972
_cell_length_b 4.6972
_cell_length_c 13.8542
_cell_angle_alpha 90.00
_cell_angle_beta 90.00
_cell_angle_gamma 120.00
_space_group_name_H-M_alt 'R 3 m'
_space_group_IT_number 160
_space_group_name_Hall 'R 3 -2"'
loop_
_atom_site_label
_atom_site_type_symbol
_atom_site_fract_x
_atom_site_fract_y
_atom_site_fract_z
La1 La 0.0000 0.0000 0.0000
Ag1 Ag 0.0000 0.0000 0.2193
Ag2 Ag 0.0000 0.0000 0.5024
Au1 Au 0.0000 0.0000 0.7778
```

Record 4
The following is a DFT calculation (PBEsol) of crystalline Fe2AuCl at its relaxed geometry.

Energy relative to the lowest polymorph listed for this composition (meV/atom): 0
Uncorrected formation energy (meV/atom): 162

The structure in CIF format:
```
data_Fe2AuCl
_chemical_formula_sum 'Fe2 Au1 Cl1'
_cell_length_a 2.922
_cell_length_b 3.726
_cell_length_c 6.263
_cell_angle_alpha 90.00
_cell_angle_beta 90.00
_cell_angle_gamma 90.00
_space_group_name_H-M_alt 'P m m m'
_space_group_IT_number 47
loop_
_space_group_symop_operation_xyz
'x,y,z'
'-x,-y,-z'
'-x,-y,z'
'x,y,-z'
'x,-y,-z'
'-x,y,z'
'-x,y,-z'
'x,-y,z'
loop_
_atom_site_label
_atom_site_type_symbol
_atom_site_fract_x
_atom_site_fract_y
_atom_site_fract_z
Fe1 Fe 0.000 0.000 0.190
Au1 Au 0.500 0.500 0.000
Cl1 Cl 0.500 0.000 0.500
```

Record 5
The following is a DFT calculation (PBEsol) of crystalline PdPt3I at its relaxed geometry.

Uncorrected formation energy (meV/atom): 1425

The structure in CIF format:
```
data_PdPt3I
_chemical_formula_sum 'Pd1 Pt3 I1'
_cell_length_a 4.793
_cell_length_b 4.793
_cell_length_c 4.793
_cell_angle_alpha 90.00
_cell_angle_beta 90.00
_cell_angle_gamma 90.00
_space_group_name_H-M_alt 'P m -3 m'
_space_group_IT_number 221
_space_group_name_Hall '-P 4 2 3'
loop_
_atom_site_label
_atom_site_type_symbol
_atom_site_fract_x
_atom_site_fract_y
_atom_site_fract_z
Pd1 Pd 0.000 0.000 0.000
Pt1 Pt 0.000 0.000 0.500
I1 I 0.500 0.500 0.500
```

Record 6
The following is a DFT calculation (PBEsol) of crystalline GaAgHgRh2 at its relaxed geometry.

E_form (eV per formula unit): 6.935

The structure in CIF format:
```
data_GaAgHgRh2
_chemical_formula_sum 'Ga1 Ag1 Hg1 Rh2'
_cell_length_a 4.810
_cell_length_b 4.810
_cell_length_c 4.901
_cell_angle_alpha 90.00
_cell_angle_beta 90.00
_cell_angle_gamma 90.00
_space_group_name_H-M_alt 'P 4/m m m'
_space_group_IT_number 123
_space_group_name_Hall '-P 4 2'
loop_
_atom_site_label
_atom_site_type_symbol
_atom_site_fract_x
_atom_site_fract_y
_atom_site_fract_z
Ga1 Ga 0.000 0.000 0.000
Ag1 Ag 0.500 0.500 0.500
Hg1 Hg 0.500 0.500 0.000
Rh1 Rh 0.000 0.500 0.500
```

Record 7
The following is a DFT calculation (PBEsol) of crystalline NiAs2Ru at its relaxed geometry.

E_form (eV per formula unit): 1.645
Energy relative to the lowest polymorph listed for this composition (meV/atom): 382

The structure in CIF format:
```
data_NiAs2Ru
_chemical_formula_sum 'Ni4 As8 Ru4'
_cell_length_a 6.095
_cell_length_b 6.095
_cell_length_c 6.095
_cell_angle_alpha 90.00
_cell_angle_beta 90.00
_cell_angle_gamma 90.00
_space_group_name_H-M_alt 'F -4 3 m'
_space_group_IT_number 216
_space_group_name_Hall 'F -4 2 3'
loop_
_atom_site_label
_atom_site_type_symbol
_atom_site_fract_x
_atom_site_fract_y
_atom_site_fract_z
Ni1 Ni 0.000 0.000 0.000
As1 As 0.000 0.000 0.500
As2 As 0.250 0.250 0.750
Ru1 Ru 0.250 0.250 0.250
```

Record 8
The following is a DFT calculation (PBEsol) of crystalline YMgCu2 at its relaxed geometry.

E_form (eV per formula unit): -0.578

The structure in CIF format:
```
data_YMgCu2
_chemical_formula_sum 'Y2 Mg2 Cu4'
_cell_length_a 3.950
_cell_length_b 3.737
_cell_length_c 10.109
_cell_angle_alpha 90.00
_cell_angle_beta 90.00
_cell_angle_gamma 90.00
_space_group_name_H-M_alt 'A m m 2'
_space_group_IT_number 38
loop_
_space_group_symop_operation_xyz
'x,y,z'
'-x,-y,z'
'-x,y,z'
'x,-y,z'
'x,y+1/2,z+1/2'
'-x,-y+1/2,z+1/2'
'-x,y+1/2,z+1/2'
'x,-y+1/2,z+1/2'
loop_
_atom_site_label
_atom_site_type_symbol
_atom_site_fract_x
_atom_site_fract_y
_atom_site_fract_z
Y1 Y 0.000 0.000 0.000
Mg1 Mg 0.500 0.000 0.710
Cu1 Cu 0.000 0.000 0.280
Cu2 Cu 0.500 0.000 0.417
```

Record 9
The following is a DFT calculation (PBEsol) of crystalline LiCdCuPt2 at its relaxed geometry.

E_form (eV per formula unit): 1.590

The structure in CIF format:
```
data_LiCdCuPt2
_chemical_formula_sum 'Li1 Cd1 Cu1 Pt2'
_cell_length_a 4.594
_cell_length_b 4.594
_cell_length_c 4.079
_cell_angle_alpha 90.00
_cell_angle_beta 90.00
_cell_angle_gamma 90.00
_space_group_name_H-M_alt 'P 4/m m m'
_space_group_IT_number 123
_space_group_name_Hall '-P 4 2'
loop_
_atom_site_label
_atom_site_type_symbol
_atom_site_fract_x
_atom_site_fract_y
_atom_site_fract_z
Li1 Li 0.000 0.000 0.000
Cd1 Cd 0.500 0.500 0.000
Cu1 Cu 0.000 0.000 0.500
Pt1 Pt 0.000 0.500 0.500
```

Record 10
The following is a DFT calculation (PBEsol) of crystalline ScNbAs2Se at its relaxed geometry.

Uncorrected formation energy (meV/atom): -37

The structure in CIF format:
```
data_ScNbAs2Se
_chemical_formula_sum 'Sc1 Nb1 As2 Se1'
_cell_length_a 4.936
_cell_length_b 4.936
_cell_length_c 4.918
_cell_angle_alpha 90.00
_cell_angle_beta 90.00
_cell_angle_gamma 90.00
_space_group_name_H-M_alt 'P 4/m m m'
_space_group_IT_number 123
_space_group_name_Hall '-P 4 2'
loop_
_atom_site_label
_atom_site_type_symbol
_atom_site_fract_x
_atom_site_fract_y
_atom_site_fract_z
Sc1 Sc 0.000 0.000 0.000
Nb1 Nb 0.500 0.500 0.500
As1 As 0.000 0.500 0.500
Se1 Se 0.500 0.500 0.000
```

Record 11
The following is a DFT calculation (PBEsol) of crystalline SrNiPt2 at its relaxed geometry.

E_form (eV per formula unit): 0.065

The structure in CIF format:
```
data_SrNiPt2
_chemical_formula_sum 'Sr2 Ni2 Pt4'
_cell_length_a 5.701
_cell_length_b 8.159
_cell_length_c 2.904
_cell_angle_alpha 90.00
_cell_angle_beta 90.00
_cell_angle_gamma 90.00
_space_group_name_H-M_alt 'C m m m'
_space_group_IT_number 65
_space_group_name_Hall '-C 2 2'
loop_
_atom_site_label
_atom_site_type_symbol
_atom_site_fract_x
_atom_site_fract_y
_atom_site_fract_z
Sr1 Sr 0.000 0.000 0.000
Ni1 Ni 0.000 0.500 0.000
Pt1 Pt 0.250 0.250 0.500
```

Record 12
The following is a DFT calculation (PBEsol) of crystalline Mo3PtSe at its relaxed geometry.

Uncorrected formation energy (meV/atom): 1192

The structure in CIF format:
```
data_Mo3PtSe
_chemical_formula_sum 'Mo3 Pt1 Se1'
_cell_length_a 4.489
_cell_length_b 4.489
_cell_length_c 4.489
_cell_angle_alpha 90.00
_cell_angle_beta 90.00
_cell_angle_gamma 90.00
_space_group_name_H-M_alt 'P m -3 m'
_space_group_IT_number 221
_space_group_name_Hall '-P 4 2 3'
loop_
_atom_site_label
_atom_site_type_symbol
_atom_site_fract_x
_atom_site_fract_y
_atom_site_fract_z
Mo1 Mo 0.000 0.000 0.500
Pt1 Pt 0.500 0.500 0.500
Se1 Se 0.000 0.000 0.000
```

no.,total magnetic moment (μB per cell)
1,0.0
2,1.2
3,0.0
4,6.2
5,0.5
6,0.0
7,0.1
8,0.0
9,0.0
10,0.0
11,0.9
12,0.0